#P
LiInO | PBE-GGA | relaxed

```
LiInO
1.0
5.151 0.000 0.000
0.000 3.131 0.000
-0.547 0.000 5.457
Li In O
2 2 2
direct
0.165 0.000 0.185
0.835 0.000 0.815
0.292 0.500 0.711
0.708 0.500 0.289
0.000 0.000 0.500
0.000 0.500 0.000
```

Summary:
SG   P2/m
Total magnetic moment   0.0000 μB/atom
Crystal system   monoclinic

=====

#Q
LiInO | PBE-GGA | relaxed

```
LiInO
1.0
3.144 0.000 0.000
-0.003 5.424 0.000
-1.563 -2.164 5.048
Li In O
2 2 2
direct
0.168 0.346 0.336
0.832 0.654 0.664
0.400 0.187 0.801
0.600 0.813 0.199
0.244 0.749 0.488
0.756 0.251 0.512
```

Summary:
SG   P-1
Total magnetic moment   0.0000 μB/atom
Crystal system   triclinic

=====

#R
LiInO | PBE-GGA | relaxed

```
LiInO
1.0
3.285 0.000 0.000
0.000 3.550 0.000
0.000 0.000 7.956
Li In O
2 2 2
direct
0.250 0.250 0.033
0.750 0.750 0.967
0.250 0.250 0.668
0.750 0.750 0.332
0.250 0.750 0.129
0.750 0.250 0.871
```

Summary:
SG   Pmmn
Total magnetic moment   0.0000 μB/atom
Crystal system   orthorhombic

=====

#S
LiInO | PBE-GGA | relaxed

```
LiInO
1.0
1.688 0.974 9.527
-1.688 0.974 9.527
0.000 -1.949 9.527
Li In O
2 2 2
direct
0.139 0.139 0.139
0.861 0.861 0.861
0.281 0.281 0.281
0.719 0.719 0.719
0.210 0.210 0.210
0.790 0.790 0.790
```

Summary:
SG   R-3m
Total magnetic moment   0.0000 μB/atom
Crystal system   trigonal

=====

Least stable structure: #S

=====

#P
Li3InO3 | PBE-GGA | relaxed

```
Li3InO3
1.0
2.853 1.647 5.220
-2.853 1.647 5.220
0.000 -3.294 5.220
Li In O
6 2 6
direct
0.137 0.398 0.824
0.176 0.863 0.602
0.398 0.824 0.137
0.602 0.176 0.863
0.824 0.137 0.398
0.863 0.602 0.176
0.332 0.332 0.332
0.668 0.668 0.668
0.079 0.715 0.461
0.285 0.539 0.921
0.461 0.079 0.715
0.539 0.921 0.285
0.715 0.461 0.079
0.921 0.285 0.539
```

Summary:
SG   R-3
Total magnetic moment   0.0000 μB/atom
Crystal system   trigonal

=====

#Q
Li3InO3 | PBE-GGA | relaxed

```
Li3InO3
1.0
8.131 0.000 0.000
-4.065 7.041 0.000
0.000 0.000 3.001
Li In O
6 2 6
direct
0.022 0.354 0.250
0.331 0.978 0.250
0.354 0.331 0.750
0.646 0.669 0.250
0.669 0.022 0.750
0.978 0.646 0.750
0.333 0.667 0.750
0.667 0.333 0.250
0.150 0.705 0.250
0.295 0.445 0.250
0.445 0.150 0.750
0.555 0.850 0.250
0.705 0.555 0.750
0.850 0.295 0.750
```

Summary:
SG   P6_3/m
Total magnetic moment   0.0000 μB/atom
Crystal system   hexagonal

=====

Least stable structure: #Q

=====

#P
LiIn3O | PBE-GGA | relaxed

```
LiIn3O
1.0
4.871 0.000 0.000
0.000 4.871 0.000
0.000 0.000 4.871
Li In O
1 3 1
direct
0.000 0.000 0.000
0.000 0.500 0.500
0.500 0.000 0.500
0.500 0.500 0.000
0.500 0.500 0.500
```

Summary:
SG   Pm-3m
Total magnetic moment   0.0000 μB/atom
Crystal system   cubic

=====

#Q
LiIn3O | PBE-GGA | relaxed

```
LiIn3O
1.0
4.846 0.000 0.000
0.000 4.846 0.000
0.000 0.000 4.846
Li In O
1 3 1
direct
0.000 0.000 0.000
0.000 0.000 0.500
0.000 0.500 0.000
0.500 0.000 0.000
0.500 0.500 0.500
```

Summary:
SG   Pm-3m
Total magnetic moment   0.0000 μB/atom
Crystal system   cubic

=====

Least stable structure: #Q